# 1
## KLiAgTe2 (PBE-GGA)

Data for a relaxed structure of KLiAgTe2.

## Properties
energy relative to the elements, uncorrected: -0.66 eV/atom
DOS(E_F): 0.7718 states/eV/atom
total magnetic moment: 0.00 Bohr magnetons per cell

Structure (CIF):
```
data_KLiAgTe2
_cell_length_a 4.668
_cell_length_b 4.668
_cell_length_c 13.409
_cell_angle_alpha 90.00
_cell_angle_beta 90.00
_cell_angle_gamma 90.00
_space_group_name_H-M_alt 'I -4 m 2'
_space_group_IT_number 119
_space_group_name_Hall 'I -4 -2'
loop_
_atom_site_label
_atom_site_type_symbol
_atom_site_fract_x
_atom_site_fract_y
_atom_site_fract_z
K1 K 0.000 0.000 0.000
Li1 Li 0.000 0.500 0.250
Ag1 Ag 0.000 0.500 0.750
Te1 Te 0.000 0.000 0.369
```

# 2
## KLiTl2Ag (PBE-GGA)

Data for a relaxed structure of KLiTl2Ag.

## Properties
E above lowest polymorph: 0.0 meV per atom
formation energy from the elements: 0.2 eV per formula unit
DOS(E_F): 0.4795 states/eV/atom
total magnetic moment: 0.00 Bohr magnetons per cell

Structure (CIF):
```
data_KLiTl2Ag
_cell_length_a 5.612
_cell_length_b 5.612
_cell_length_c 5.218
_cell_angle_alpha 90.00
_cell_angle_beta 90.00
_cell_angle_gamma 90.00
_space_group_name_H-M_alt 'P 4/m m m'
_space_group_IT_number 123
_space_group_name_Hall '-P 4 2'
loop_
_atom_site_label
_atom_site_type_symbol
_atom_site_fract_x
_atom_site_fract_y
_atom_site_fract_z
K1 K 0.000 0.000 0.000
Li1 Li 0.500 0.500 0.000
Tl1 Tl 0.000 0.500 0.500
Ag1 Ag 0.500 0.500 0.500
```

# 3
## KLiTl2Ag (PBE-GGA)

Data for a relaxed structure of KLiTl2Ag.

## Properties
E above lowest polymorph: 5.3 meV per atom
formation energy from the elements: 0.2 eV per formula unit
DOS(E_F): 0.5087 states/eV/atom
total magnetic moment: 0.00 Bohr magnetons per cell

Structure (CIF):
```
data_KLiTl2Ag
_cell_length_a 5.295
_cell_length_b 5.295
_cell_length_c 5.105
_cell_angle_alpha 90.00
_cell_angle_beta 90.00
_cell_angle_gamma 90.00
_space_group_name_H-M_alt 'P 4/m m m'
_space_group_IT_number 123
_space_group_name_Hall '-P 4 2'
loop_
_atom_site_label
_atom_site_type_symbol
_atom_site_fract_x
_atom_site_fract_y
_atom_site_fract_z
K1 K 0.000 0.000 0.000
Li1 Li 0.500 0.500 0.500
Tl1 Tl 0.000 0.500 0.500
Ag1 Ag 0.500 0.500 0.000
```

# 4
## KLiZn2Ag (PBE-GGA)

Data for a relaxed structure of KLiZn2Ag.

## Properties
formation energy from the elements: 0.4 eV per formula unit
DOS(E_F): 0.4446 states/eV/atom
total magnetic moment: 0.00 Bohr magnetons per cell

Structure (CIF):
```
data_KLiZn2Ag
_cell_length_a 5.071
_cell_length_b 5.071
_cell_length_c 5.154
_cell_angle_alpha 90.00
_cell_angle_beta 90.00
_cell_angle_gamma 90.00
_space_group_name_H-M_alt 'P 4/m m m'
_space_group_IT_number 123
_space_group_name_Hall '-P 4 2'
loop_
_atom_site_label
_atom_site_type_symbol
_atom_site_fract_x
_atom_site_fract_y
_atom_site_fract_z
K1 K 0.000 0.000 0.000
Li1 Li 0.500 0.500 0.000
Zn1 Zn 0.000 0.500 0.500
Ag1 Ag 0.500 0.500 0.500
```

# 5
## K2LiZn3Ag12 (PBE-GGA)

Data for a relaxed structure of K2LiZn3Ag12.

## Properties
formation energy from the elements: 4.0 eV per formula unit
DOS(E_F): 0.3104 states/eV/atom
total magnetic moment: 0.00 Bohr magnetons per cell

Structure (CIF):
```
data_K2LiZn3Ag12
_cell_length_a 9.1863
_cell_length_b 9.1863
_cell_length_c 19.1641
_cell_angle_alpha 90.00
_cell_angle_beta 90.00
_cell_angle_gamma 120.00
_space_group_name_H-M_alt 'R -3 m'
_space_group_IT_number 166
_space_group_name_Hall '-R 3 2"'
loop_
_atom_site_label
_atom_site_type_symbol
_atom_site_fract_x
_atom_site_fract_y
_atom_site_fract_z
K1 K 0.0000 0.0000 0.0961
Li1 Li 0.0000 0.0000 0.5000
Zn1 Zn 0.0000 0.5000 0.0000
Ag1 Ag 0.0159 0.5079 0.1375
Ag2 Ag 0.1091 0.2182 0.7327
```

# 6
## KMg3Ag (PBE-GGA)

Data for a relaxed structure of KMg3Ag.

## Properties
E above lowest polymorph: 1028.2 meV per atom
formation energy from the elements: 5.4 eV per formula unit
DOS(E_F): 0.3026 states/eV/atom
total magnetic moment: 0.00 Bohr magnetons per cell

Structure (CIF):
```
data_KMg3Ag
_cell_length_a 6.457
_cell_length_b 6.457
_cell_length_c 6.457
_cell_angle_alpha 90.00
_cell_angle_beta 90.00
_cell_angle_gamma 90.00
_space_group_name_H-M_alt 'P m -3 m'
_space_group_IT_number 221
_space_group_name_Hall '-P 4 2 3'
loop_
_atom_site_label
_atom_site_type_symbol
_atom_site_fract_x
_atom_site_fract_y
_atom_site_fract_z
K1 K 0.000 0.000 0.000
Mg1 Mg 0.000 0.000 0.500
Ag1 Ag 0.500 0.500 0.500
```